A plane-wave DFT calculation with GGA-PBE was carried out for a geometry-optimized TlTcRh2 structure.

Results
ΔH_f (0 K) in meV per atom: 376
Calculated total energy in Ry/atom: -0.4765
Symmetry: P4/mmm
Calculated density in g cm⁻³: 12.758

Lattice parameters (Å, degrees): 4.228 4.231 3.698 90.00 90.00 90.00
Site moments in Bohr magnetons follow the coordinates.
Sites, in units of the cell vectors:
Rh1 0.500 0.500 0.000  0.43
Tl1 0.000 0.500 0.500  -0.01
Tc1 0.500 0.000 0.500  2.12
Rh2 0.000 0.000 0.000  0.43